A geometry-optimized NaAgPb2 structure. Source: Alexandria via LeMat-Bulk, functional GGA-PBE.

It has space group I-42d (No. 122), with a = 4.6343 Å, b = 4.6343 Å, c = 21.2563 Å, α = 90.00°, β = 90.00° and γ = 90.00°. The asymmetric unit holds Na at (0.0000, 0.0000, 0.0000), Ag at (0.0000, 0.0000, 0.5000) and Pb at (0.2379, 0.2500, 0.6250).

The energy of formation is 0.112 eV per atom. The density of states at the Fermi level is 9.51 states/eV/cell. The size of the total moment is 0.00 μB/cell.

---

A geometry-optimized Er3Tm5Cd structure. Source: Alexandria via LeMat-Bulk, functional GGA-PBE.

It has space group C2/m (No. 12), with a = 11.8024 Å, b = 11.1558 Å, c = 9.9550 Å, α = 90.00°, β = 108.52° and γ = 90.00°. The asymmetric unit holds Er at (0.0000, 0.0000, 0.0000), Er at (0.0000, 0.5000, 0.5000), Er at (0.0026, 0.0000, 0.6738), Er at (0.0049, 0.5000, 0.1833), Tm at (0.0000, 0.2639, 0.0000), Tm at (0.1849, 0.2592, 0.7892), Tm at (0.2381, 0.5000, 0.0537), Tm at (0.2478, 0.0000, 0.5894) and Cd at (0.2343, 0.0000, 0.2659).

The energy of formation is 0.431 eV per atom. The density of states at the Fermi level is 52.96 states/eV/cell. The size of the total moment is 0.00 μB/cell.